No. 1
DFT (meta-GGA SCAN) results for ZrMn2Os at its PBEsol-relaxed geometry.

Formation enthalpy at 0 K = -0.09 eV/atom
Energy = -34.859 eV/atom
Space-group type = I4/mmm (139)
N(E_F) = 8.13 states/eV/cell

Structure (extended XYZ):
```
8
Lattice="3.829 0.000 0.000 0.000 3.829 0.000 0.000 0.000 7.881" Properties=species:S:1:pos:R:3 pbc="T T T"
Zr 0.000 0.000 0.000
Zr 1.915 1.915 3.940
Mn 0.000 1.915 1.970
Mn 0.000 1.915 5.911
Mn 1.915 0.000 1.970
Mn 1.915 0.000 5.911
Os 0.000 0.000 3.940
Os 1.915 1.915 0.000
```


No. 2
DFT (meta-GGA SCAN) results for TaInRu2 at its PBEsol-relaxed geometry.

Formation enthalpy at 0 K = -0.33 eV/atom
Energy = -42.738 eV/atom
Space-group type = P4/mmm (123)
N(E_F) = 0.30 states/eV/cell

Structure (extended XYZ):
```
4
Lattice="4.401 0.000 0.000 0.000 4.401 0.000 0.000 0.000 3.224" Properties=species:S:1:pos:R:3 pbc="T T T"
Ta 0.000 0.000 0.000
In 2.200 2.200 0.000
Ru 0.000 2.200 1.612
Ru 2.200 0.000 1.612
```